Er3Al9Co2 | PBE | relaxed

```
14
Lattice="-2.130 4.815 6.013 2.130 -4.815 6.013 2.130 4.815 -6.013" Properties=species:S:1:pos:R:3 pbc="T T T"
Er 0.000 0.000 0.000
Er 0.000 0.000 3.614
Er 0.000 0.000 8.412
Al 2.130 -1.344 1.770
Al 2.130 -2.081 4.490
Al 2.130 1.344 1.770
Al 0.000 2.735 1.523
Al 0.000 4.815 0.000
Al 2.130 2.081 4.490
Al 0.000 3.471 4.243
Al 0.000 6.896 1.523
Al 0.000 6.159 4.243
Co 2.130 3.122 0.000
Co 0.000 1.694 6.013
```

Properties
For the total energy, the calculation gives -0.179 Ha/atom. As for the formation energy from the elements: -475 meV per atom. Its theoretical density is 5.81 g/cm³.

Er6AlCo2 | PBE | relaxed

```
18
Lattice="-4.587 4.707 4.923 4.587 -4.707 4.923 4.587 4.707 -4.923" Properties=species:S:1:pos:R:3 pbc="T T T"
Er 4.587 2.837 -2.572
Er 2.591 1.719 0.000
Er 6.583 1.719 0.000
Er 1.729 4.707 -1.726
Er 2.858 0.000 3.197
Er 0.000 1.870 2.351
Er 4.587 2.837 2.572
Er 1.729 4.707 1.726
Er 2.858 0.000 6.649
Er -1.996 2.988 4.923
Er 1.996 2.988 4.923
Er 0.000 1.870 7.495
Al 0.000 0.000 0.000
Al 0.000 0.000 4.923
Co 4.587 0.000 1.136
Co 0.000 3.105 0.000
Co 0.000 6.308 0.000
Co 0.000 4.707 3.787
```

Properties
For the total energy, the calculation gives -0.195 Ha/atom. As for the formation energy from the elements: -274 meV per atom. Its theoretical density is 8.97 g/cm³.

Er11Al9Co4 | PBE | relaxed

```
24
Lattice="6.890 -10.308 0.000 6.890 10.308 0.000 0.000 0.000 3.535" Properties=species:S:1:pos:R:3 pbc="T T T"
Er 0.000 0.000 0.000
Er 3.366 3.507 0.000
Er 6.890 6.911 0.000
Er 4.299 0.000 0.000
Er 6.890 2.570 0.000
Er 3.366 -3.507 0.000
Er 10.414 3.507 0.000
Er 6.890 -2.570 0.000
Er 9.481 0.000 0.000
Er 6.890 -6.911 0.000
Er 10.414 -3.507 0.000
Al 2.097 1.413 1.767
Al 5.497 4.769 1.767
Al 2.097 -1.413 1.767
Al 8.283 4.769 1.767
Al 6.890 0.000 1.767
Al 5.497 -4.769 1.767
Al 11.683 1.413 1.767
Al 8.283 -4.769 1.767
Al 11.683 -1.413 1.767
Co 4.759 2.093 1.767
Co 4.759 -2.093 1.767
Co 9.021 2.093 1.767
Co 9.021 -2.093 1.767
```

Properties
For the total energy, the calculation gives -0.188 Ha/atom. As for the formation energy from the elements: -424 meV per atom. Its theoretical density is 7.67 g/cm³.

Er2AlCo3 | PBE | relaxed

```
6
Lattice="2.649 1.529 3.878 -2.649 1.529 3.878 0.000 -3.059 3.878" Properties=species:S:1:pos:R:3 pbc="T T T"
Er 0.000 0.000 1.497
Er 0.000 0.000 10.138
Al 0.000 0.000 5.818
Co -1.324 -0.765 3.878
Co -1.324 0.765 7.757
Co 0.000 1.529 3.878
```

Properties
For the offset from the most stable computed form, the calculation gives 10 meV per atom. For the total energy, the calculation gives -0.222 Ha/atom. As for the formation energy from the elements: -343 meV per atom. Its theoretical density is 9.48 g/cm³.

ErAl2Co | PBE | relaxed

```
4
Lattice="1.585 0.915 8.409 -1.585 0.915 8.409 0.000 -1.830 8.409" Properties=species:S:1:pos:R:3 pbc="T T T"
Er 0.000 0.000 0.000
Al 0.000 0.000 5.828
Al 0.000 0.000 19.398
Co 0.000 0.000 12.613
```

Properties
For the total energy, the calculation gives -0.176 Ha/atom. As for the formation energy from the elements: -6 meV per atom. Its theoretical density is 6.36 g/cm³.

Er2Al9Co3 | PBE | relaxed

```
28
Lattice="6.420 -3.675 0.000 6.420 3.675 0.000 -4.293 0.000 9.298" Properties=species:S:1:pos:R:3 pbc="T T T"
Er 1.109 0.609 2.323
Er -1.037 -0.609 6.971
Er 9.584 0.609 2.326
Er 7.437 -0.609 6.975
Al 5.345 3.085 0.661
Al 5.348 3.085 3.988
Al 1.067 0.617 5.284
Al 3.971 1.377 2.346
Al 1.054 0.630 8.859
Al 3.214 -0.617 0.635
Al 3.200 1.005 6.973
Al 6.722 1.377 2.303
Al 3.201 -0.630 4.210
Al 5.346 0.630 5.087
Al 1.825 -1.377 6.995
Al 5.347 -1.005 2.324
Al 5.333 0.617 8.662
Al 7.492 -0.630 0.439
Al 4.575 -1.377 6.952
Al 7.479 -0.617 4.013
Al 3.199 -3.085 5.310
Al 3.201 -3.085 8.637
Co 3.210 1.837 0.000
Co 3.175 1.887 4.637
Co 7.518 1.887 0.012
Co 1.063 -1.837 4.649
Co 1.029 -1.887 9.285
Co 5.372 -1.887 4.661
```

Properties
For the total energy, the calculation gives -0.189 Ha/atom. As for the formation energy from the elements: -562 meV per atom. Its theoretical density is 5.71 g/cm³.

Er3AlCo8 | PBE | relaxed

```
12
Lattice="2.476 1.429 8.125 -2.476 1.429 8.125 0.000 -2.859 8.125" Properties=species:S:1:pos:R:3 pbc="T T T"
Er 0.000 0.000 0.000
Er 0.000 0.000 3.105
Er 0.000 0.000 15.105
Al 0.000 0.000 12.123
Co 0.000 -1.420 5.517
Co -1.230 0.710 5.517
Co -1.222 -0.705 9.695
Co 0.000 0.000 7.610
Co 1.230 0.710 5.517
Co 1.222 -0.705 9.695
Co 0.000 1.411 9.695
Co 0.000 0.000 19.810
```

Properties
For the total energy, the calculation gives -0.236 Ha/atom. As for the formation energy from the elements: -242 meV per atom. Its theoretical density is 9.63 g/cm³.

Er3Al2Co7 | PBE | relaxed

```
12
Lattice="2.563 1.480 7.770 -2.563 1.480 7.770 0.000 -2.960 7.770" Properties=species:S:1:pos:R:3 pbc="T T T"
Er 0.000 0.000 0.000
Er 0.000 0.000 3.266
Er 0.000 0.000 20.044
Al 0.000 0.000 7.776
Al 0.000 0.000 15.534
Co -1.283 -0.741 9.718
Co 0.000 -1.482 13.592
Co -1.283 0.741 13.592
Co 0.000 0.000 11.655
Co 1.283 -0.741 9.718
Co 0.000 1.482 9.718
Co 1.283 0.741 13.592
```

Properties
For the total energy, the calculation gives -0.230 Ha/atom. As for the formation energy from the elements: -349 meV per atom. Its theoretical density is 9.09 g/cm³.